Here is a relaxed PmZnGa2Pt5 crystal from Alexandria via LeMat-Bulk. Energies are from PBE.

Lattice parameters (Å, degrees): 4.694 4.694 7.489 90.00 90.00 90.00
Space group P4/mmm (No. 123)
Unique sites:
Pm 0.000 0.000 0.000 x1
Zn 0.000 0.000 0.500 x1
Ga 0.500 0.500 0.340 x2
Pt 0.000 0.500 0.262 x4
Pt 0.500 0.500 0.000 x1

Calculated values
ΔE_f: -437.5 meV/atom

***

Here is a relaxed PuGa4Ag4 crystal from Alexandria via LeMat-Bulk. Energies are from PBE.

Lattice parameters (Å, degrees): 6.258 6.258 9.149 90.00 90.00 90.00
Space group P4_2/nmc (No. 137, origin choice 2)
Unique sites:
Pu 0.250 0.750 0.250 x2
Ga 0.031 0.250 0.043 x8
Ag 0.027 0.250 0.334 x8

Calculated values
ΔE_f: -26.3 meV/atom

***

Here is a relaxed Pu2TlAgS4 crystal from Alexandria via LeMat-Bulk. Energies are from PBE.

Lattice parameters (Å, degrees): 4.095 13.503 14.291 90.00 90.00 90.00
Space group Cmcm (No. 63)
Unique sites:
Pu 0.000 0.131 0.063 x8
Tl 0.000 0.389 0.250 x4
Ag 0.000 0.330 0.750 x4
S 0.000 0.060 0.250 x4
S 0.000 0.238 0.599 x8
S 0.000 0.500 0.000 x4

Calculated values
Energy relative to the elements, uncorrected: -1.135 eV per atom

***

Here is a relaxed YAg2Br crystal from Alexandria via LeMat-Bulk. Energies are from PBE.

Lattice parameters (Å, degrees): 5.730 11.752 3.428 90.00 125.60 90.00
Space group C2/m (No. 12)
Unique sites:
Y 0.000 0.000 0.000 x2
Ag 0.250 0.250 0.500 x4
Br 0.000 0.500 0.000 x2

Calculated values
Energy relative to the elements, uncorrected: -0.327 eV per atom

***

Here is a relaxed Sr3Mg2 crystal from Alexandria via LeMat-Bulk. Energies are from PBE.

Lattice parameters (Å, degrees): 4.198 4.198 22.839 90.00 90.00 90.00
Space group P4/mmm (No. 123)
Unique sites:
Sr 0.000 0.000 0.000 x1
Sr 0.000 0.000 0.182 x2
Sr 0.000 0.000 0.364 x2
Sr 0.500 0.500 0.500 x1
Mg 0.500 0.500 0.090 x2
Mg 0.500 0.500 0.273 x2

Calculated values
ΔE_f: -43.1 meV/atom

***

Here is a relaxed OsPtSe2 crystal from Alexandria via LeMat-Bulk. Energies are from PBE.

Lattice parameters (Å, degrees): 9.180 3.487 6.068 90.00 94.70 90.00
Space group Cm (No. 8)
Unique sites:
Os 0.000 0.000 0.000 x2
Pt 0.287 0.000 0.086 x2
Se 0.138 0.500 0.272 x2
Se 0.428 0.000 0.744 x2

Calculated values
Energy relative to the elements, uncorrected: 0.210 eV per atom

***

Here is a relaxed Ce2TmSe3 crystal from Alexandria via LeMat-Bulk. Energies are from PBE.

Lattice parameters (Å, degrees): 4.140 4.140 17.531 90.00 90.00 90.00
Space group I4/mmm (No. 139)
Unique sites:
Ce 0.000 0.000 0.170 x4
Tm 0.000 0.000 0.500 x2
Se 0.000 0.000 0.000 x2
Se 0.000 0.000 0.339 x4

Calculated values
Energy relative to the elements, uncorrected: -1.763 eV per atom

***

Here is a relaxed Ac6Ge2CI3 crystal from Alexandria via LeMat-Bulk. Energies are from PBE.

Lattice parameters (Å, degrees): 7.707 13.328 8.660 90.00 107.22 90.00
Space group C2/m (No. 12)
Unique sites:
Ac 0.216 0.153 0.190 x8
Ac 0.241 0.000 0.808 x4
Ge 0.000 0.334 0.000 x4
C 0.000 0.000 0.000 x2
I 0.000 0.174 0.500 x4
I 0.000 0.500 0.500 x2

Calculated values
Energy relative to the elements, uncorrected: -0.840 eV per atom

***

Here is a relaxed Pr6Y3Er2Mg crystal from Alexandria via LeMat-Bulk. Energies are from PBE.

Lattice parameters (Å, degrees): 6.282 10.887 11.829 90.00 100.24 90.00
Space group C2/m (No. 12)
Unique sites:
Pr 0.248 0.166 0.247 x8
Pr 0.249 0.500 0.248 x4
Y 0.000 0.167 0.500 x4
Y 0.000 0.500 0.500 x2
Er 0.000 0.333 0.000 x4
Mg 0.000 0.000 0.000 x2

Calculated values
ΔE_f: 22.8 meV/atom

***

Here is a relaxed LiCeMgCu crystal from Alexandria via LeMat-Bulk. Energies are from PBE.

Lattice parameters (Å, degrees): 6.875 6.875 6.875 90.00 90.00 90.00
Space group F-43m (No. 216)
Unique sites:
Li 0.000 0.000 0.000 x4
Ce 0.250 0.250 0.250 x4
Mg 0.250 0.250 0.750 x4
Cu 0.000 0.000 0.500 x4

Calculated values
ΔE_f: 8.8 meV/atom

***

Here is a relaxed H2Rh2W crystal from Alexandria via LeMat-Bulk. Energies are from PBE.

Lattice parameters (Å, degrees): 2.828 2.828 12.538 90.00 90.00 90.00
Space group I4/mmm (No. 139)
Unique sites:
H 0.000 0.500 0.250 x4
Rh 0.000 0.000 0.150 x4
W 0.000 0.000 0.500 x2

Calculated values
E_tot: -6.946 eV per atom

***

Here is a relaxed Zr3GaBi crystal from Alexandria via LeMat-Bulk. Energies are from PBE.

Lattice parameters (Å, degrees): 5.032 5.874 8.033 101.65 108.23 90.00
Space group P-1 (No. 2)
Unique sites:
Zr 0.000 0.000 0.000 x1
Zr 0.000 0.500 0.000 x1
Zr 0.195 0.328 0.390 x2
Zr 0.369 0.161 0.736 x2
Ga 0.198 0.811 0.397 x2
Bi 0.423 0.696 0.846 x2

Calculated values
ΔE_f: -363.4 meV/atom

***

Here is a relaxed SmTm3Ir crystal from Alexandria via LeMat-Bulk. Energies are from PBE.

Lattice parameters (Å, degrees): 7.533 6.508 6.144 90.00 90.00 90.00
Space group Pmn2_1 (No. 31)
Unique sites:
Sm 0.000 0.148 0.000 x2
Tm 0.000 0.847 0.491 x2
Tm 0.249 0.316 0.498 x4
Ir 0.000 0.507 0.745 x2

Calculated values
ΔE_f: -359.7 meV/atom

***

Here is a relaxed Ca6NiH12 crystal from Alexandria via LeMat-Bulk. Energies are from PBE.

Lattice parameters (Å, degrees): 9.6122 9.6122 9.3123 90.00 90.00 120.00
Space group R-3 (No. 148, hexagonal axes)
Unique sites:
Ca 0.0595 0.2640 0.1593 x18
Ni 0.0000 0.0000 0.5000 x3
H 0.0431 0.1840 0.3999 x18
H 0.0453 0.2299 0.9095 x18

Calculated values
E_tot: -3.445 eV per atom

***

Here is a relaxed TaCu4Te crystal from Alexandria via LeMat-Bulk. Energies are from PBE.

Lattice parameters (Å, degrees): 7.106 7.106 7.106 90.00 90.00 90.00
Space group F-43m (No. 216)
Unique sites:
Ta 0.000 0.000 0.000 x4
Cu 0.126 0.126 0.374 x16
Te 0.250 0.250 0.750 x4

Calculated values
Energy relative to the elements, uncorrected: 0.305 eV per atom

***

Here is a relaxed HfZrCuTc crystal from Alexandria via LeMat-Bulk. Energies are from PBE.

Lattice parameters (Å, degrees): 6.555 6.555 6.555 90.00 90.00 90.00
Space group F-43m (No. 216)
Unique sites:
Hf 0.000 0.000 0.000 x4
Zr 0.000 0.000 0.500 x4
Cu 0.250 0.250 0.750 x4
Tc 0.250 0.250 0.250 x4

Calculated values
ΔE_f: -293.1 meV/atom

***

Here is a relaxed MgAgPt2 crystal from Alexandria via LeMat-Bulk. Energies are from PBE.

Lattice parameters (Å, degrees): 3.891 3.891 18.868 90.00 90.00 90.00
Space group I-42d (No. 122)
Unique sites:
Mg 0.000 0.000 0.000 x4
Ag 0.000 0.000 0.500 x4
Pt 0.248 0.250 0.125 x8

Calculated values
ΔE_f: -109.9 meV/atom

***

Here is a relaxed CaLaBe2 crystal from Alexandria via LeMat-Bulk. Energies are from PBE.

Lattice parameters (Å, degrees): 3.532 4.972 9.750 90.00 90.00 90.00
Space group Imm2 (No. 44)
Unique sites:
Ca 0.000 0.000 0.000 x2
La 0.000 0.500 0.195 x2
Be 0.000 0.000 0.417 x2
Be 0.000 0.500 0.789 x2

Calculated values
ΔE_f: 292.0 meV/atom

***

Here is a relaxed CaCeNbN3 crystal from Alexandria via LeMat-Bulk. Energies are from PBE.

Lattice parameters (Å, degrees): 5.829 3.381 8.768 90.00 102.66 90.00
Space group P2_1/m (No. 11)
Unique sites:
Ca 0.231 0.250 0.451 x2
Ce 0.352 0.750 0.813 x2
Nb 0.134 0.750 0.134 x2
N 0.057 0.250 0.689 x2
N 0.248 0.250 0.021 x2
N 0.437 0.750 0.308 x2

Calculated values
Energy relative to the elements, uncorrected: -1.245 eV per atom

***

Here is a relaxed Rb2ScH crystal from Alexandria via LeMat-Bulk. Energies are from PBE.

Lattice parameters (Å, degrees): 13.303 13.303 4.034 90.00 90.00 90.00
Space group I-42d (No. 122)
Unique sites:
Rb 0.086 0.750 0.125 x8
Sc 0.000 0.000 0.500 x4
H 0.000 0.000 0.000 x4

Calculated values
E_tot: -2.494 eV per atom

***

Here is a relaxed Sr2LiCa5 crystal from Alexandria via LeMat-Bulk. Energies are from PBE.

Lattice parameters (Å, degrees): 8.084 8.084 5.854 90.00 90.00 90.00
Space group P4/mmm (No. 123)
Unique sites:
Sr 0.000 0.500 0.000 x2
Li 0.000 0.000 0.500 x1
Ca 0.000 0.000 0.000 x1
Ca 0.264 0.264 0.500 x4

Calculated values
ΔE_f: 233.9 meV/atom

***

Here is a relaxed Rb2RuPb crystal from Alexandria via LeMat-Bulk. Energies are from PBE.

Lattice parameters (Å, degrees): 12.881 12.881 5.226 90.00 90.00 90.00
Space group I-42d (No. 122)
Unique sites:
Rb 0.065 0.250 0.125 x8
Ru 0.000 0.000 0.000 x4
Pb 0.000 0.000 0.500 x4

Calculated values
ΔE_f: 661.3 meV/atom

***

Here is a relaxed Be2ZnCoSe crystal from Alexandria via LeMat-Bulk. Energies are from PBE.

Lattice parameters (Å, degrees): 4.211 4.211 4.380 90.00 90.00 90.00
Space group P4/mmm (No. 123)
Unique sites:
Be 0.000 0.500 0.000 x2
Zn 0.000 0.000 0.500 x1
Co 0.500 0.500 0.500 x1
Se 0.500 0.500 0.000 x1

Calculated values
Energy relative to the elements, uncorrected: 0.836 eV per atom

***

Here is a relaxed CaDyBe2Si2 crystal from Alexandria via LeMat-Bulk. Energies are from PBE.

Lattice parameters (Å, degrees): 3.9024 3.9024 8.2896 90.00 90.00 120.00
Space group P-3m1 (No. 164)
Unique sites:
Ca 0.0000 0.0000 0.0000 x1
Dy 0.0000 0.0000 0.5000 x1
Be 0.3333 0.6667 0.7331 x2
Si 0.3333 0.6667 0.2614 x2

Calculated values
Energy relative to the elements, uncorrected: -0.498 eV per atom